LiNbCoSb after structural relaxation. Source: OQMD, functional PBE.

Values from the calculation:
Offset from the most stable computed form, meV per atom: 0.0

Cell lengths 4.378, 4.378, 4.378 Å; angles 60.00, 60.00, 60.00 degrees
Fractional positions:
Li 0.000 0.000 0.000
Nb 0.750 0.750 0.750
Co 0.500 0.500 0.500
Sb 0.250 0.250 0.250



ScBeCuSi after structural relaxation. Source: OQMD, functional PBE.

Values from the calculation:
Offset from the most stable computed form, meV per atom: 0.0

Cell lengths 4.223, 4.223, 4.223 Å; angles 60.00, 60.00, 60.00 degrees
Fractional positions:
Sc 0.000 0.000 0.000
Be 0.250 0.250 0.250
Cu 0.750 0.750 0.750
Si 0.500 0.500 0.500



DyErSn2Ir4 after structural relaxation. Source: OQMD, functional PBE.

Cell lengths 4.498, 4.498, 9.001 Å; angles 90.00, 90.00, 120.00 degrees
Fractional positions:
Dy 0.000 0.000 0.000
Er 0.667 0.333 0.500
Sn 0.333 0.667 0.251
Sn 0.333 0.667 0.749
Ir 0.000 0.000 0.350
Ir 0.000 0.000 0.650
Ir 0.667 0.333 0.152
Ir 0.667 0.333 0.848



Ho4Se7 after structural relaxation. Source: OQMD, functional PBE.

Cell lengths 10.510, 7.009, 7.009 Å; angles 34.40, 90.00, 90.00 degrees
Fractional positions:
Ho 0.000 0.000 0.000
Ho 0.245 0.284 0.284
Ho 0.500 0.000 0.000
Ho 0.755 0.284 0.284
Se 0.000 0.357 0.357
Se 0.000 0.647 0.647
Se 0.250 0.927 0.927
Se 0.382 0.643 0.643
Se 0.500 0.356 0.356
Se 0.618 0.643 0.643
Se 0.750 0.927 0.927



Ta2SbPd after structural relaxation. Source: OQMD, functional PBE.

Cell lengths 4.702, 4.702, 4.702 Å; angles 60.00, 60.00, 60.00 degrees
Fractional positions:
Ta 0.000 0.000 0.000
Ta 0.250 0.250 0.250
Sb 0.500 0.500 0.500
Pd 0.750 0.750 0.750



MgFe2Se3 after structural relaxation. Source: OQMD, functional PBE.

Cell lengths 6.473, 6.473, 9.372 Å; angles 90.00, 90.00, 148.42 degrees
Fractional positions:
Mg 0.230 0.770 0.750
Mg 0.770 0.230 0.250
Fe 0.000 0.000 0.000
Fe 0.000 0.000 0.500
Fe 0.452 0.548 0.250
Fe 0.548 0.452 0.750
Se 0.081 0.919 0.250
Se 0.365 0.635 0.031
Se 0.365 0.635 0.469
Se 0.635 0.365 0.531
Se 0.635 0.365 0.969
Se 0.919 0.081 0.750



KGdNO after structural relaxation. Source: OQMD, functional PBE.

Values from the calculation:
Offset from the most stable computed form, meV per atom: 155.6

Cell lengths 3.681, 3.681, 4.786 Å; angles 90.00, 90.00, 90.00 degrees
Fractional positions:
K 0.000 0.000 0.000
Gd 0.500 0.500 0.500
N 0.000 0.000 0.500
O 0.500 0.500 0.000



LaSmPd after structural relaxation. Source: OQMD, functional PBE.

Values from the calculation:
Offset from the most stable computed form, meV per atom: 0.0

Cell lengths 5.028, 5.028, 5.028 Å; angles 60.00, 60.00, 60.00 degrees
Fractional positions:
La 0.000 0.000 0.000
Sm 0.500 0.500 0.500
Pd 0.250 0.250 0.250



| no. | calculated total energy (eV for the cell shown) | total magnetic moment (μB/f.u.) |
| --- | --- | --- |
| 1 | -23.169 | 0.26 |
| 2 | -19.645 | 0.00 |
| 3 | -57.172 | 0.00 |
| 4 | -59.615 | 0.00 |
| 5 | -32.240 | 0.01 |
| 6 | -61.127 | 3.55 |
| 7 | -23.379 | 1.00 |
| 8 | -15.973 | 0.18 |